## SiSeCl2 (PBE-GGA)

Data for a relaxed SiSeCl2 crystal.

The structure in POSCAR format:
```
SiSeCl2
1.0
-2.004 2.762 2.786
-0.495 -3.282 2.897
3.711 0.958 1.719
Si Se Cl
1 1 2
Cartesian
1.608 -1.162 2.308
0.853 1.860 2.253
-1.250 -0.260 2.842
0.000 0.000 0.000
```

The calculation puts the formation energy from raw total energies at 482 meV per atom. As for the crystal system: tetragonal. The space group is P4/mmm. Its total energy is -0.0981 hartree per atom.